No. 1
VASP calculation (PBE) on NdSmSe2F2 after structural relaxation.

## Properties
Total DFT energy (no corrections) = -37.5 eV per cell
Total moment = 0.00 Bohr magnetons per cell
Calculated volume = 111.5 Å³ per cell

abc: 3.9576 3.9576 7.1193
angles: 90.00 90.00 90.00
Sites, in units of the cell vectors:
F 0.5000 0.0000 0.9978
F 0.0000 0.5000 0.9978
Nd 0.0000 0.0000 0.2176
Se 0.5000 0.5000 0.3605
Se 0.0000 0.0000 0.6442
Sm 0.5000 0.5000 0.7820

***

No. 2
VASP calculation (PBE) on SmGdW after structural relaxation.

## Properties
Distance to the lowest polymorph of the same formula = 0.0000 eV/atom
Total DFT energy (no corrections) = -18.0 eV per cell
Total moment = 0.00 Bohr magnetons per cell
Formation energy from the elements = 1.44 eV/atom
Calculated volume = 82.7 Å³ per cell

abc: 4.8910 4.8910 4.8910
angles: 60.00 60.00 60.00
Sites, in units of the cell vectors:
Gd 0.0000 0.0000 0.0000
Sm 0.2500 0.2500 0.2500
W 0.7500 0.7500 0.7500

***

No. 3
VASP calculation (PBE) on GdEr2Al3Cu2Ni after structural relaxation.

## Properties
Total DFT energy (no corrections) = -42.6 eV per cell
Total moment = 0.00 Bohr magnetons per cell
Calculated volume = 167.6 Å³ per cell

abc: 3.9883 6.9589 6.9589
angles: 119.80 90.00 90.00
Sites, in units of the cell vectors:
Al 0.5000 0.7697 0.0015
Al 0.5000 0.2304 0.2304
Al 0.5000 0.0015 0.7697
Cu 0.5000 0.6680 0.3297
Cu 0.5000 0.3297 0.6680
Er 0.0000 0.9993 0.4105
Er 0.0000 0.4105 0.9993
Gd 0.0000 0.5874 0.5874
Ni 0.0000 0.0035 0.0035